LiOsPb2S6 | GGA-PBE | optimized geometry

abc: 6.0018 6.0018 11.5658
angles: 90.00 90.00 90.00
Last column: nearest neighbours and their distance in Å.
Space group I4/m (No. 87)
One atom of each set of equivalent atoms:
Li  0.0000  0.0000  0.0000 x2  4 S 2.36
Os  0.0000  0.0000  0.5000 x2  6 S 2.37-2.39
Pb  0.0000  0.5000  0.2500 x4  8 S 3.04-3.09
S  0.0000  0.0000  0.2932 x4  1 Os 2.39
S  0.1264  0.3721  0.0000 x8  1 S 2.16, 1 Li 2.36, 1 Os 2.37

The calculation puts the total energy at -4.893 eV per atom.


LiSbOsPb | GGA-PBE | optimized geometry

abc: 6.7047 6.7047 6.7047
angles: 90.00 90.00 90.00
Last column: nearest neighbours and their distance in Å.
Space group F-43m (No. 216)
One atom of each set of equivalent atoms:
Li  0.0000  0.0000  0.0000 x4  4 Pb 2.90, 4 Sb 2.90
Sb  0.2500  0.2500  0.7500 x4  4 Li 2.90, 4 Os 2.90
Os  0.0000  0.0000  0.5000 x4  4 Pb 2.90, 4 Sb 2.90
Pb  0.2500  0.2500  0.2500 x4  4 Li 2.90, 4 Os 2.90

Its relative energy among the computed polymorphs is 0 meV per atom.


LiOsPb2Se6 | GGA-PBE | optimized geometry

abc: 6.3900 6.3900 11.9338
angles: 90.00 90.00 90.00
Last column: nearest neighbours and their distance in Å.
Space group I4/m (No. 87)
One atom of each set of equivalent atoms:
Li  0.0000  0.0000  0.0000 x2  4 Se 2.48
Os  0.0000  0.0000  0.5000 x2  6 Se 2.48-2.54
Pb  0.0000  0.5000  0.2500 x4  8 Se 3.23
Se  0.0000  0.0000  0.2873 x4  1 Os 2.54
Se  0.1364  0.6367  0.5000 x8  1 Se 2.47, 1 Os 2.48, 1 Li 2.48

The calculation puts the total energy at -4.446 eV per atom.


LiTaOsPb | GGA-PBE | optimized geometry

abc: 6.4394 6.4394 6.4394
angles: 90.00 90.00 90.00
Last column: nearest neighbours and their distance in Å.
Space group F-43m (No. 216)
One atom of each set of equivalent atoms:
Li  0.0000  0.0000  0.0000 x4  4 Pb 2.79, 4 Ta 2.79
Ta  0.2500  0.2500  0.7500 x4  4 Li 2.79, 4 Os 2.79
Os  0.0000  0.0000  0.5000 x4  4 Ta 2.79, 4 Pb 2.79
Pb  0.2500  0.2500  0.2500 x4  4 Os 2.79, 4 Li 2.79

Its relative energy among the computed polymorphs is 0 meV per atom.


LiTaOsPb | GGA-PBE | optimized geometry

abc: 6.4950 6.4950 6.4950
angles: 90.00 90.00 90.00
Last column: nearest neighbours and their distance in Å.
Space group F-43m (No. 216)
One atom of each set of equivalent atoms:
Li  0.0000  0.0000  0.0000 x4  4 Os 2.81, 4 Pb 2.81
Ta  0.0000  0.0000  0.5000 x4  4 Pb 2.81, 4 Os 2.81
Os  0.2500  0.2500  0.7500 x4  4 Ta 2.81, 4 Li 2.81
Pb  0.2500  0.2500  0.2500 x4  4 Ta 2.81, 4 Li 2.81

Its relative energy among the computed polymorphs is 241 meV per atom.


LiTaOsPb | GGA-PBE | optimized geometry

abc: 6.4707 6.4707 6.4707
angles: 90.00 90.00 90.00
Last column: nearest neighbours and their distance in Å.
Space group F-43m (No. 216)
One atom of each set of equivalent atoms:
Li  0.0000  0.0000  0.0000 x4  4 Ta 2.80, 4 Os 2.80
Ta  0.2500  0.2500  0.7500 x4  4 Pb 2.80, 4 Li 2.80
Os  0.2500  0.2500  0.2500 x4  4 Pb 2.80, 4 Li 2.80
Pb  0.0000  0.0000  0.5000 x4  4 Os 2.80, 4 Ta 2.80

Its relative energy among the computed polymorphs is 711 meV per atom.


LiPr2OsSe6 | GGA-PBE | optimized geometry

abc: 6.6434 7.2998 11.5877
angles: 90.00 123.84 90.00
Last column: nearest neighbours and their distance in Å.
Space group P2_1/c (No. 14)
One atom of each set of equivalent atoms:
Li  0.0000  0.0000  0.0000 x2  6 Se 2.57-2.69
Pr  0.2983  0.1157  0.7482 x4  7 Se 2.96-3.23
Os  0.5000  0.0000  0.5000 x2  6 Se 2.50-2.56
Se  0.1360  0.0067  0.2558 x4  1 Os 2.50, 1 Li 2.57
Se  0.2296  0.6782  0.0535 x4  1 Os 2.56, 1 Li 2.68
Se  0.3852  0.1911  0.0477 x4  1 Os 2.54, 1 Li 2.69

The calculation puts the total energy at -5.404 eV per atom.


LiPr2Te6Os | GGA-PBE | optimized geometry

abc: 7.1969 7.7333 12.3679
angles: 90.00 124.15 90.00
Last column: nearest neighbours and their distance in Å.
Space group P2_1/c (No. 14)
One atom of each set of equivalent atoms:
Li  0.0000  0.0000  0.0000 x2  6 Te 2.79-2.92
Pr  0.3019  0.1311  0.7490 x4  8 Te 3.16-3.54
Te  0.1228  0.5006  0.7576 x4  1 Os 2.69, 1 Li 2.79
Te  0.2239  0.6708  0.0534 x4  1 Os 2.76, 1 Li 2.88
Te  0.3950  0.1846  0.0502 x4  1 Os 2.73, 1 Li 2.92
Os  0.5000  0.0000  0.5000 x2  6 Te 2.69-2.76

The calculation puts the total energy at -4.885 eV per atom.


LiOsPt2 | GGA-PBE | optimized geometry

abc: 6.1291 6.1291 6.1291
angles: 90.00 90.00 90.00
Last column: nearest neighbours and their distance in Å.
Space group F-43m (No. 216)
One atom of each set of equivalent atoms:
Li  0.0000  0.0000  0.0000 x4  4 Os 2.65, 4 Pt 2.65
Os  0.2500  0.2500  0.2500 x4  4 Pt 2.65, 4 Li 2.65
Pt  0.0000  0.0000  0.5000 x4  4 Os 2.65, 4 Pt 2.65
Pt  0.2500  0.2500  0.7500 x4  4 Li 2.65, 4 Pt 2.65

The calculation puts the total energy at -6.129 eV per atom.


Li2OsPt | GGA-PBE | optimized geometry

abc: 5.9897 5.9897 5.9897
angles: 90.00 90.00 90.00
Last column: nearest neighbours and their distance in Å.
Space group F-43m (No. 216)
One atom of each set of equivalent atoms:
Li  0.0000  0.0000  0.0000 x4  4 Li 2.59, 4 Os 2.59
Li  0.2500  0.2500  0.2500 x4  4 Li 2.59, 4 Pt 2.59
Os  0.2500  0.2500  0.7500 x4  4 Li 2.59, 4 Pt 2.59
Pt  0.0000  0.0000  0.5000 x4  4 Li 2.59, 4 Os 2.59

The calculation puts the total energy at -5.197 eV per atom.


RbLiOs | GGA-PBE | optimized geometry

abc: 7.1377 7.1377 7.1377
angles: 90.00 90.00 90.00
Last column: nearest neighbours and their distance in Å.
Space group F-43m (No. 216)
One atom of each set of equivalent atoms:
Rb  0.0000  0.0000  0.0000 x4  4 Li 3.09, 4 Os 3.09
Li  0.2500  0.2500  0.7500 x4  4 Rb 3.09
Os  0.2500  0.2500  0.2500 x4  4 Rb 3.09

Its relative energy among the computed polymorphs is 351 meV per atom.


RbLiOs | GGA-PBE | optimized geometry

abc: 6.9069 6.9069 6.9069
angles: 90.00 90.00 90.00
Last column: nearest neighbours and their distance in Å.
Space group F-43m (No. 216)
One atom of each set of equivalent atoms:
Rb  0.0000  0.0000  0.0000 x4  4 Li 2.99
Li  0.2500  0.2500  0.7500 x4  4 Os 2.99, 4 Rb 2.99
Os  0.0000  0.0000  0.5000 x4  4 Li 2.99

Its relative energy among the computed polymorphs is 0 meV per atom.